<w>
5
Lattice="-0.7950 4.1165 -1.6369 -4.1416 -1.7155 -2.3027 -2.7300 1.0995 4.0911" Properties=species:S:1:pos:R:3 comment="GGA-PBEsol SiRhPb2W, relaxed" space_group="No. 123" rho_g_cm3=10.6 magmom_total_mub_per_atom=0.064 pbc="T T T"
Pb -1.3650 0.5498 2.0455
Pb -2.0708 -0.8577 -1.1514
Si 0.0000 0.0000 0.0000
Rh -3.8333 1.7503 0.0757
W -0.3975 2.0582 -0.8184

***

<x>
5
Lattice="-3.8399 0.3617 2.6753 0.7100 -4.9352 1.6864 2.9428 1.7842 3.9825" Properties=species:S:1:pos:R:3 comment="GGA-PBEsol SiRhPb2W, relaxed" space_group="No. 123" rho_g_cm3=9.3 magmom_total_mub_per_atom=0.000 pbc="T T T"
Pb 1.4714 0.8921 1.9913
Pb 0.3550 -2.4676 0.8432
Si -0.0935 -1.3946 4.1721
Rh -1.9199 0.1809 1.3377
W 0.0000 0.0000 0.0000

***

Which of them is the most stable, and which is the least stable? <x> and <w>, in that order.

***

<w>
4
Lattice="-1.1655 2.5727 -1.5677 -3.5458 -0.0329 2.5822 4.7686 1.8666 2.8460" Properties=species:S:1:pos:R:3 comment="GGA-PBEsol TlRh2Pb, relaxed" space_group="No. 44" rho_g_cm3=13.9 magmom_total_mub_per_atom=0.000 pbc="T T T"
Pb 0.5406 2.7466 0.7773
Rh 0.0452 0.0587 0.0628
Rh -0.5384 1.5882 3.0067
Tl -2.3457 1.2829 0.5211

***

<x>
4
Lattice="-2.8312 1.6454 1.6070 -1.9937 -3.0265 -0.4136 1.7739 -1.8553 5.0248" Properties=species:S:1:pos:R:3 comment="GGA-PBEsol TlRh2Pb, relaxed" space_group="No. 99" rho_g_cm3=13.7 magmom_total_mub_per_atom=0.000 pbc="T T T"
Pb -0.9889 -2.1794 4.6290
Rh 1.7092 -1.7876 4.8416
Rh -1.8968 -1.2299 2.0574
Tl 0.7863 -0.8224 2.2274

***

Which of them is the most stable, and which is the least stable? <w> and <x>, in that order.

***

<w>
4
Lattice="-3.1730 0.4766 0.0645 -0.6418 -3.9962 -2.0408 1.4767 -1.6327 4.8676" Properties=species:S:1:pos:R:3 comment="GGA-PBEsol TlRh2Pb, relaxed" space_group="No. 8" rho_g_cm3=14.1 magmom_total_mub_per_atom=0.000 pbc="T T T"
Pb -1.7438 -1.0977 2.1660
Rh -0.0641 -0.4231 -0.0262
Rh -0.4719 -3.2706 0.9522
Tl -0.4890 -3.7534 3.6787

***

<x>
4
Lattice="3.3113 0.0000 0.0000 -1.6557 4.0619 0.0083 0.0000 -1.3589 5.5461" Properties=species:S:1:pos:R:3 comment="GGA-PBEsol TlRh2Pb, relaxed" space_group="No. 12" rho_g_cm3=13.7 magmom_total_mub_per_atom=0.000 pbc="T T T"
Pb 1.6557 0.0000 0.0000
Rh 1.6557 1.0080 4.1906
Rh 0.0000 1.6949 1.3638
Tl 0.0000 -0.6794 2.7730

***

Which of them is the most stable, and which is the least stable? <w> and <x>, in that order.

***

<w>
4
Lattice="-1.1962 2.4200 1.6592 -3.8062 -3.2734 2.0302 5.2365 -0.6010 1.6263" Properties=species:S:1:pos:R:3 comment="GGA-PBEsol RhPb2W, relaxed" space_group="No. 71" rho_g_cm3=15.0 magmom_total_mub_per_atom=0.000 pbc="T T T"
Pb -1.0622 -0.9674 3.6708
Pb 1.2963 -0.4870 1.6449
Rh -0.5981 1.2100 0.8296
W -1.9031 -1.6367 1.0151

***

<x>
4
Lattice="3.9862 0.0000 0.0000 0.0000 3.9862 0.0000 -1.9931 -1.9931 4.8151" Properties=species:S:1:pos:R:3 comment="GGA-PBEsol RhPb2W, relaxed" space_group="No. 119" rho_g_cm3=15.2 magmom_total_mub_per_atom=0.000 pbc="T T T"
Pb 0.0000 0.0000 0.0000
Pb 1.9931 0.0000 2.4075
Rh 1.9931 1.9931 0.0000
W 0.0000 1.9931 2.4075

***

<y>
4
Lattice="3.0404 0.0000 0.0000 0.0000 3.0404 0.0000 0.0000 0.0000 9.1368" Properties=species:S:1:pos:R:3 comment="GGA-PBEsol RhPb2W, relaxed" space_group="No. 99" rho_g_cm3=13.8 magmom_total_mub_per_atom=0.000 pbc="T T T"
Pb 0.0000 0.0000 8.6932
Pb 1.5202 1.5202 2.7980
Rh 0.0000 0.0000 4.9380
W 1.5202 1.5202 6.4128

***

Which of them is the most stable, and which is the least stable? <y> and <w>, in that order.

***

<w>
4
Lattice="-0.6060 -3.7094 -2.3054 3.3676 -1.8009 -2.2041 1.7810 -3.7824 1.4012" Properties=species:S:1:pos:R:3 comment="GGA-PBEsol SiRu2Pb, relaxed" space_group="No. 225" rho_g_cm3=12.0 magmom_total_mub_per_atom=0.000 pbc="T T T"
Pb 2.2713 -4.6464 -1.5541
Ru 1.1356 -2.3232 -0.7771
Ru 3.4069 -6.9696 -2.3312
Si 0.0000 0.0000 0.0000

***

<x>
4
Lattice="-0.3423 -2.1648 3.9216 -0.5786 -4.4547 0.0637 3.3303 -2.6781 1.3856" Properties=species:S:1:pos:R:3 comment="GGA-PBEsol SiRu2Pb, relaxed" space_group="No. 216" rho_g_cm3=11.3 magmom_total_mub_per_atom=0.002 pbc="T T T"
Pb 1.2047 -4.6488 2.6855
Ru 0.0000 0.0000 0.0000
Ru 1.8070 -6.9732 4.0282
Si 0.6023 -2.3244 1.3427

***

Which of them is the most stable, and which is the least stable? <w> and <x>, in that order.

***

<w>
4
Lattice="3.2857 0.0000 0.0000 0.0000 4.6585 0.0000 0.0000 0.0000 4.6585" Properties=species:S:1:pos:R:3 comment="GGA-PBEsol TcRuPb2, relaxed" space_group="No. 123" rho_g_cm3=14.3 magmom_total_mub_per_atom=0.001 pbc="T T T"
Pb 0.0000 0.0000 2.3293
Pb 0.0000 2.3293 0.0000
Ru 1.6429 2.3293 2.3293
Tc 1.6429 0.0000 0.0000

***

<x>
4
Lattice="3.1307 0.0103 0.0000 -1.3949 2.8028 0.0000 0.0000 0.0000 8.6295" Properties=species:S:1:pos:R:3 comment="GGA-PBEsol TcRuPb2, relaxed" space_group="No. 65" rho_g_cm3=13.4 magmom_total_mub_per_atom=0.000 pbc="T T T"
Pb 0.0000 0.0000 2.1834
Pb 0.0000 0.0000 6.4461
Ru 0.8679 1.4066 4.3147
Tc 0.8679 1.4066 0.0000

***

Which of them is the most stable, and which is the least stable? <w> and <x>, in that order.

***

<w>
4
Lattice="2.9942 0.0000 0.0000 0.0000 2.9942 0.0000 0.0000 0.0000 9.1804" Properties=species:S:1:pos:R:3 comment="GGA-PBEsol TcRuPb2, relaxed" space_group="No. 99" rho_g_cm3=12.4 magmom_total_mub_per_atom=0.000 pbc="T T T"
Pb 0.0000 0.0000 8.6576
Pb 1.4971 1.4971 2.8464
Ru 0.0000 0.0000 4.9994
Tc 1.4971 1.4971 6.4478

***

<x>
4
Lattice="-1.7625 -2.3174 -3.7568 -3.5951 -3.0570 0.5658 -4.3241 1.0855 -1.6475" Properties=species:S:1:pos:R:3 comment="GGA-PBEsol TcRuPb2, relaxed" space_group="No. 216" rho_g_cm3=13.4 magmom_total_mub_per_atom=0.338 pbc="T T T"
Pb 0.0000 0.0000 0.0000
Pb -2.4204 -1.0722 -1.2097
Ru -4.8409 -2.1444 -2.4193
Tc -7.2613 -3.2167 -3.6290

***

Which of them is the most stable, and which is the least stable? <w> and <x>, in that order.

***

<w>
4
Lattice="5.0530 0.0000 0.0000 2.5265 4.3760 0.0000 2.5265 1.4587 4.1258" Properties=species:S:1:pos:R:3 comment="GGA-PBEsol TlRuPb2, relaxed" space_group="No. 216" rho_g_cm3=13.1 magmom_total_mub_per_atom=0.001 pbc="T T T"
Pb 0.0000 0.0000 0.0000
Pb 7.5795 4.3760 3.0943
Ru 5.0530 2.9174 2.0629
Tl 2.5265 1.4587 1.0314

***

<x>
4
Lattice="3.5955 0.0000 -0.0167 0.0000 4.7228 0.0000 -1.7744 0.0000 5.3909" Properties=species:S:1:pos:R:3 comment="GGA-PBEsol TlRuPb2, relaxed" space_group="No. 6" rho_g_cm3=13.1 magmom_total_mub_per_atom=0.001 pbc="T T T"
Pb -1.5516 0.0000 5.0395
Pb 2.0273 2.3614 1.6960
Ru 0.2416 0.0000 2.5895
Tl 0.2398 2.3614 4.1272

***

Which of them is the most stable, and which is the least stable? <x> and <w>, in that order.

***

<w>
4
Lattice="-0.8390 0.0144 -4.1497 -3.0361 -2.5078 -1.5545 -5.9360 4.1987 -0.9450" Properties=species:S:1:pos:R:3 comment="GGA-PBEsol Pb2SeS, relaxed" space_group="No. 166" rho_g_cm3=8.1 magmom_total_mub_per_atom=0.000 pbc="T T T"
Pb -7.3124 1.2292 -4.9963
Pb -2.4987 0.4760 -1.6528
S -4.9056 0.8526 -3.3246
Se 0.0000 0.0000 0.0000

***

<x>
4
Lattice="-3.7909 -1.8119 0.5484 1.8898 -3.6941 0.8587 0.1568 1.4327 5.8178" Properties=species:S:1:pos:R:3 comment="GGA-PBEsol Pb2SeS, relaxed" space_group="No. 123" rho_g_cm3=8.1 magmom_total_mub_per_atom=0.000 pbc="T T T"
Pb 0.0000 0.0000 0.0000
Pb -0.8722 -2.0366 3.6125
S 0.0784 0.7163 2.9089
Se -0.9506 -2.7530 0.7036

***

Which of them is the most stable, and which is the least stable? <w> and <x>, in that order.

***

<w>
4
Lattice="-1.4703 1.8281 3.6644 -4.1222 -0.6283 1.2427 0.1159 -5.3476 5.2975" Properties=species:S:1:pos:R:3 comment="GGA-PBEsol TePb2S, relaxed" space_group="No. 166" rho_g_cm3=8.2 magmom_total_mub_per_atom=0.000 pbc="T T T"
Pb -4.0551 -3.2627 7.7502
Pb -1.4215 -0.8851 2.4544
S 0.0000 0.0000 0.0000
Te -2.7383 -2.0739 5.1023

***

<x>
4
Lattice="4.3783 0.0000 0.0000 0.0000 4.3783 0.0000 0.0000 0.0000 6.1957" Properties=species:S:1:pos:R:3 comment="GGA-PBEsol TePb2S, relaxed" space_group="No. 123" rho_g_cm3=8.0 magmom_total_mub_per_atom=0.000 pbc="T T T"
Pb 0.0000 0.0000 0.0000
Pb 2.1891 2.1891 3.0979
S 0.0000 0.0000 3.0979
Te 2.1891 2.1891 0.0000

***

Which of them is the most stable, and which is the least stable? <w> and <x>, in that order.

***

<w>
5
Lattice="-2.8332 -3.9526 0.8125 0.8455 -1.5522 -4.6028 3.9457 -2.5056 1.5698" Properties=species:S:1:pos:R:3 comment="GGA-PBEsol ZrPbS3, relaxed" space_group="No. 221" rho_g_cm3=5.5 magmom_total_mub_per_atom=0.000 pbc="T T T"
Pb 0.9790 -4.0052 -1.1103
S 0.4228 -0.7761 -2.3014
S 1.9728 -1.2528 0.7849
S -1.4166 -1.9763 0.4063
Zr 0.0000 0.0000 0.0000

***

<x>
20
Lattice="-3.6399 0.6659 -0.5465 -1.5035 -8.7768 -0.6804 -2.1586 -0.6806 13.5486" Properties=species:S:1:pos:R:3 comment="GGA-PBEsol ZrPbS3, relaxed" space_group="No. 62" rho_g_cm3=5.7 magmom_total_mub_per_atom=0.000 pbc="T T T"
Zr -4.4168 -2.7965 6.8097
Zr -2.8852 -5.9950 5.5120
Zr -6.0338 -7.4577 11.9003
Zr -1.2682 -1.3338 0.4214
Pb -4.9185 -8.3842 3.3425
Pb -2.3835 -0.4073 8.9792
Pb -3.8364 -3.8917 1.6094
Pb -3.4656 -4.8998 10.7123
S -4.3130 -4.0601 4.5789
S -2.9890 -4.7314 7.7428
S -4.4484 -8.2542 0.3700
S -2.8536 -0.5373 11.9517
S -5.3645 -3.1119 12.7376
S -1.9375 -5.6796 -0.4159
S -5.0921 -7.1774 5.9696
S -2.2099 -1.6141 6.3521
S -1.7908 -2.3774 2.6307
S -5.5112 -6.4141 9.6911
S -2.6809 -6.8094 3.1588
S -4.6211 -1.9821 9.1629

***

Which of them is the most stable, and which is the least stable? <x> and <w>, in that order.

***

<w>
3
Lattice="3.2467 0.0000 0.0000 0.0000 5.5679 0.0000 0.0000 -2.7839 4.8219" Properties=species:S:1:pos:R:3 comment="GGA-PBEsol SbPb2, relaxed" space_group="No. 164" rho_g_cm3=10.2 magmom_total_mub_per_atom=0.000 pbc="T T T"
Pb 2.5797 0.0000 3.2146
Pb 0.6671 2.7839 1.6073
Sb 0.0000 0.0000 0.0000

***

<x>
6
Lattice="3.3971 0.0000 0.0000 -1.6986 6.4339 0.0911 0.0000 -2.2911 7.8147" Properties=species:S:1:pos:R:3 comment="GGA-PBEsol SbPb2, relaxed" space_group="No. 8" rho_g_cm3=10.4 magmom_total_mub_per_atom=0.000 pbc="T T T"
Pb 0.0000 -2.1893 7.7454
Pb 1.6985 1.3356 2.6548
Pb 0.0000 2.6858 5.2960
Pb 0.0000 4.3672 2.2399
Sb 0.0000 -0.7129 4.7656
Sb 1.6986 0.7433 7.4674

***

<y>
12
Lattice="-1.5842 -5.0865 -0.9117 3.5365 -0.0980 -5.5982 7.7709 -3.3105 4.9671" Properties=species:S:1:pos:R:3 comment="GGA-PBEsol SbPb2, relaxed" space_group="No. 62" rho_g_cm3=10.2 magmom_total_mub_per_atom=0.000 pbc="T T T"
Pb 5.9426 -6.2263 0.3796
Pb 1.4723 -1.9896 0.5315
Pb 8.2509 -6.5054 -2.0743
Pb 3.7806 -2.2687 -1.9224
Pb 0.4569 -4.0804 -2.0612
Pb 4.7166 -3.1808 1.5396
Pb 5.0066 -5.3143 -3.0824
Pb 9.2663 -4.4147 0.5184
Sb 2.3827 -4.2275 -4.5865
Sb 6.7982 -3.3322 -1.2323
Sb 2.9251 -5.1628 -0.3105
Sb 7.3405 -4.2675 3.0437

***

<z>
6
Lattice="6.2233 0.0000 0.0000 -2.8660 5.5240 0.0000 -1.6786 -2.7620 5.3181" Properties=species:S:1:pos:R:3 comment="GGA-PBEsol SbPb2, relaxed" space_group="No. 140" rho_g_cm3=9.7 magmom_total_mub_per_atom=0.000 pbc="T T T"
Pb -0.5937 4.1430 1.0366
Pb 2.2723 -1.3810 4.2816
Pb 2.5644 2.2237 2.6591
Pb -0.8858 0.5384 2.6591
Sb 0.8393 1.3810 0.0000
Sb 2.5179 4.1430 0.0000

***

Which of them is the most stable, and which is the least stable? <y> and <z>, in that order.